## CaCoSeBr2 (PBE-GGA)

Data for a relaxed structure of CaCoSeBr2.

Unit cell a=5.4677 b=5.4677 c=5.7354 alpha=90.00 beta=90.00 gamma=90.00
Closest atoms and distances in Å follow each position.
Fractional positions:
Co 0.5000 0.5000 0.5000  4 Se 3.87, 8 Br 3.96
Br 0.0000 0.5000 0.0000  2 Ca 2.73
Br 0.5000 0.0000 0.0000  2 Ca 2.73
Ca 0.0000 0.0000 0.0000  4 Br 2.73, 2 Se 2.87
Se 0.0000 0.0000 0.5000  2 Ca 2.87

Results
- Total magnetic moment: 3.04 Bohr magnetons per cell
- ΔE to the lowest computed polymorph: 319.0 kJ/mol of formula units
- Raw formation energy: -0.025 eV per atom
- VASP energy: -3.21 eV per atom
- ρ: 3.3 g/cm³